Record 1
A plane-wave DFT calculation with PBE was carried out for a geometry-optimized Cs2TcCl7 structure.

a b c (Å): 7.740 7.740 7.910
angles (deg): 60.71 60.71 90.00
Atoms (fractional coordinates):
1 Cl 0.500 0.500 0.000
2 Cl 0.216 0.216 0.000
3 Cl 0.784 0.216 0.000
4 Cl 0.216 0.784 0.000
5 Cl 0.793 0.793 0.414
6 Cl 0.207 0.207 0.586
7 Cl 0.784 0.784 0.000
8 Cs 0.750 0.250 0.500
9 Cs 0.250 0.750 0.500
10 Tc 0.000 0.000 0.000

Computed properties:
The value obtained for the formation energy (no corrections) is -1.1136 eV/atom. Its space group is I4/mmm. Its density of states at the Fermi level is 38.14 states/eV/f.u. The value obtained for the total energy is -3.614 eV per atom. The crystal system is tetragonal.



Record 2
A plane-wave DFT calculation with PBE was carried out for a geometry-optimized Cs3TcCl8 structure.

a b c (Å): 9.077 10.364 10.364
angles (deg): 120.00 90.00 90.00
Atoms (fractional coordinates):
1 Cl 0.800 0.773 0.227
2 Cl 0.800 0.454 0.227
3 Cl 0.500 0.880 0.440
4 Cl 0.500 0.560 0.120
5 Cl 0.623 0.333 0.667
6 Cl 0.966 0.000 0.000
7 Cl 0.000 0.440 0.560
8 Cl 0.000 0.440 0.880
9 Cl 0.000 0.120 0.560
10 Cl 0.300 0.227 0.454
11 Cl 0.300 0.227 0.773
12 Cl 0.300 0.546 0.773
13 Cl 0.500 0.560 0.440
14 Cl 0.466 0.000 0.000
15 Cl 0.123 0.667 0.333
16 Cl 0.800 0.773 0.546
17 Cs 0.712 0.152 0.848
18 Cs 0.212 0.848 0.696
19 Cs 0.712 0.696 0.848
20 Cs 0.212 0.304 0.152
21 Cs 0.712 0.152 0.304
22 Cs 0.212 0.848 0.152
23 Tc 0.149 0.333 0.667
24 Tc 0.649 0.667 0.333

Computed properties:
The value obtained for the formation energy (no corrections) is -1.2968 eV/atom. Its space group is P6_3mc. Its density of states at the Fermi level is 17.98 states/eV/f.u. The value obtained for the total energy is -3.605 eV per atom. The calculation puts the energy above the most stable polymorph in this dataset at 0 meV/atom. The crystal system is hexagonal.



Record 3
A plane-wave DFT calculation with PBE was carried out for a geometry-optimized CsTcCl3 structure.

a b c (Å): 6.163 6.163 6.163
angles (deg): 90.00 90.00 90.00
Atoms (fractional coordinates):
1 Tc 0.500 0.500 0.500
2 Cs 0.000 0.000 0.000
3 Cl 0.000 0.500 0.000
4 Cl 0.000 0.000 0.500
5 Cl 0.500 0.000 0.000

Computed properties:
The value obtained for the formation energy (no corrections) is 0.5249 eV/atom. Its space group is Pm-3m. Its density of states at the Fermi level is 13.25 states/eV/f.u. The value obtained for the total energy is -2.827 eV per atom. The calculation puts the energy above the most stable polymorph in this dataset at 1404 meV/atom. The crystal system is cubic.



Record 4
A plane-wave DFT calculation with PBE was carried out for a geometry-optimized Cs3TcCl structure.

a b c (Å): 6.663 6.663 6.663
angles (deg): 90.00 90.00 90.00
Atoms (fractional coordinates):
1 Tc 0.500 0.500 0.500
2 Cs 0.500 0.000 0.000
3 Cs 0.000 0.500 0.000
4 Cs 0.000 0.000 0.500
5 Cl 0.000 0.000 0.000

Computed properties:
The value obtained for the formation energy (no corrections) is 0.2481 eV/atom. Its space group is Pm-3m. Its density of states at the Fermi level is 6.52 states/eV/f.u. The value obtained for the total energy is -2.707 eV per atom. The calculation puts the energy above the most stable polymorph in this dataset at 0 meV/atom. The crystal system is cubic.



Record 5
A plane-wave DFT calculation with PBE was carried out for a geometry-optimized Cs2TcCl4 structure.

a b c (Å): 5.129 5.129 9.279
angles (deg): 73.96 73.96 90.00
Atoms (fractional coordinates):
1 Tc 0.000 0.000 0.000
2 Cs 0.642 0.642 0.715
3 Cs 0.358 0.358 0.285
4 Cl 0.852 0.852 0.295
5 Cl 0.500 0.000 0.000
6 Cl 0.148 0.148 0.705
7 Cl 0.000 0.500 0.000

Computed properties:
The value obtained for the formation energy (no corrections) is -1.1983 eV/atom. Its space group is I4/mmm. Its density of states at the Fermi level is 4.06 states/eV/f.u. The value obtained for the total energy is -3.978 eV per atom. The crystal system is tetragonal.



Record 6
A plane-wave DFT calculation with PBE was carried out for a geometry-optimized CsTcCl3 structure.

a b c (Å): 5.118 5.118 5.118
angles (deg): 90.00 90.00 90.00
Atoms (fractional coordinates):
1 Cl 0.000 0.000 0.500
2 Cl 0.500 0.000 0.000
3 Cl 0.000 0.500 0.000
4 Cs 0.500 0.500 0.500
5 Tc 0.000 0.000 0.000

Computed properties:
The value obtained for the formation energy (no corrections) is -0.8787 eV/atom. Its space group is Pm-3m. Its density of states at the Fermi level is 2.64 states/eV/f.u. The value obtained for the total energy is -4.231 eV per atom. The calculation puts the energy above the most stable polymorph in this dataset at 0 meV/atom. The crystal system is cubic.